First-principles (PBE) data for SrBeRe2 after structural relaxation, as listed in Alexandria.

```
SrBeRe2
1.0
4.0656 0.0000 0.0000
0.0000 3.1734 0.0232
0.0000 1.5408 6.0406
Re Sr Be
2 1 1
direct
0.0000 0.7977 0.0306
0.5000 0.2590 0.1071
0.0000 0.5419 0.5410
0.5000 0.9015 0.8214
```

Values from the calculation:
The value obtained for the size of the total moment is 0.00 μB/atom. As for the formation enthalpy at 0 K: 0.48 eV per atom.

=====

First-principles (PBE) data for Mg2Cu2Cl after structural relaxation, as listed in Alexandria.

```
Mg2Cu2Cl
1.0
-3.4252 1.7317 2.3859
0.2975 -3.4357 2.9208
1.7423 1.8204 5.4600
Mg Cu Cl
2 2 1
direct
0.2500 0.7500 0.5000
0.7500 0.2500 0.5000
0.3837 0.3837 0.2326
0.6163 0.6163 0.7674
0.0000 0.0000 0.0000
```

Values from the calculation:
The value obtained for the energy above the most stable polymorph in this dataset is 20.47 kJ/mol of atoms. The value obtained for the size of the total moment is 0.00 μB/atom. For the formation energy from raw total energies, the calculation gives 0.1044 eV per atom.

=====

First-principles (PBE) data for MgH4O2 after structural relaxation, as listed in Alexandria.

```
MgH4O2
1.0
3.1208 0.0000 0.0000
0.0000 5.2705 0.0000
0.0000 0.0000 5.2705
H O Mg
8 4 2
direct
0.5000 0.1077 0.4337
0.5000 0.5663 0.8923
0.5000 0.8923 0.5663
0.0000 0.6077 0.0663
0.5000 0.4337 0.1077
0.0000 0.0663 0.6077
0.0000 0.3923 0.9337
0.0000 0.9337 0.3923
0.5000 0.6958 0.6958
0.0000 0.1958 0.8042
0.5000 0.3042 0.3042
0.0000 0.8042 0.1958
0.0000 0.5000 0.5000
0.5000 0.0000 0.0000
```

Values from the calculation:
The calculation puts the total energy at -58.10 eV per cell. The value obtained for the size of the total moment is 0.00 μB/atom.

=====

First-principles (PBE) data for BeV2Ni4 after structural relaxation, as listed in Alexandria.

```
BeV2Ni4
1.0
3.7741 0.0000 0.0000
0.0000 3.7741 0.0000
1.8870 1.8870 6.1415
Be Ni V
1 4 2
direct
0.0000 0.0000 0.0000
0.5000 0.0000 0.0000
0.8351 0.8351 0.3298
0.0000 0.5000 0.0000
0.1649 0.1649 0.6702
0.6507 0.6507 0.6985
0.3493 0.3493 0.3015
```

Values from the calculation:
The value obtained for the size of the total moment is 0.42 μB/atom. As for the formation enthalpy at 0 K: 0.44 eV per atom.

=====

First-principles (PBE) data for SmSb2Pd4 after structural relaxation, as listed in Alexandria.

```
SmSb2Pd4
1.0
4.3521 0.0000 0.0000
0.0000 7.9745 0.0000
0.0000 0.0000 7.9745
Pd Sb Sm
8 4 2
direct
0.5000 0.8511 0.4042
0.0000 0.0958 0.3511
0.0000 0.6489 0.9042
0.5000 0.5958 0.1489
0.0000 0.9042 0.6489
0.5000 0.4042 0.8511
0.5000 0.1489 0.5958
0.0000 0.3511 0.0958
0.0000 0.7829 0.2171
0.5000 0.2829 0.2829
0.5000 0.7171 0.7171
0.0000 0.2171 0.7829
0.5000 0.0000 0.0000
0.0000 0.5000 0.5000
```

Values from the calculation:
The value obtained for the energy above the most stable polymorph in this dataset is 0.00 kJ/mol of atoms. The value obtained for the size of the total moment is 0.00 μB/atom. For the formation energy from raw total energies, the calculation gives -0.7093 eV per atom.

=====

First-principles (PBE) data for CaMgBr after structural relaxation, as listed in Alexandria.

```
CaMgBr
1.0
5.3991 0.0000 0.0000
2.6995 4.6758 0.0000
2.6995 1.5586 4.4083
Br Ca Mg
1 1 1
direct
0.5000 0.5000 0.5000
0.7500 0.7500 0.7500
0.0000 0.0000 0.0000
```

Values from the calculation:
The value obtained for the energy above the most stable polymorph in this dataset is 41.70 kJ/mol of atoms. The value obtained for the size of the total moment is 0.00 μB/atom. For the formation energy from raw total energies, the calculation gives -0.3139 eV per atom.

=====

First-principles (PBE) data for UReGe after structural relaxation, as listed in Alexandria.

```
UReGe
1.0
2.8916 0.0677 0.0000
-1.3116 2.5779 0.0000
-0.7900 -1.3228 6.9972
Ge U Re
1 1 1
direct
0.3223 0.3223 0.6446
0.0044 0.0044 0.0087
0.6733 0.6733 0.3467
```

Values from the calculation:
The value obtained for the size of the total moment is 0.00 μB/atom. As for the formation enthalpy at 0 K: 0.09 eV per atom.

=====

First-principles (PBE) data for NdPt4 after structural relaxation, as listed in Alexandria.

```
NdPt4
1.0
5.1271 0.0000 0.0000
0.0000 5.1271 0.0000
0.0000 0.0000 5.1271
Pt Nd
4 1
direct
0.0000 0.0000 0.0000
0.5000 0.0000 0.5000
0.0000 0.5000 0.5000
0.5000 0.5000 0.0000
0.5000 0.5000 0.5000
```

Values from the calculation:
The value obtained for the size of the total moment is 0.00 μB/atom. As for the formation enthalpy at 0 K: 1.44 eV per atom.

=====

First-principles (PBE) data for CsZrNb3 after structural relaxation, as listed in Alexandria.

```
CsZrNb3
1.0
-4.6124 2.0716 1.2334
-0.6832 -3.6764 3.6199
2.3122 3.0462 3.5301
Zr Cs Nb
1 1 3
direct
0.0000 0.0000 0.0000
0.5000 0.5000 0.5000
0.0000 0.5000 0.0000
0.0000 0.0000 0.5000
0.5000 0.0000 0.0000
```

Values from the calculation:
The value obtained for the energy above the most stable polymorph in this dataset is 0.00 kJ/mol of atoms. The value obtained for the size of the total moment is 0.00 μB/atom. As for the formation enthalpy at 0 K: 1.89 eV per atom.

=====

First-principles (PBE) data for PrBiPt after structural relaxation, as listed in Alexandria.

```
PrBiPt
1.0
-1.5899 -3.9501 -0.1107
3.2726 -1.2304 -3.0963
0.8227 -0.4593 4.5742
Pt Pr Bi
1 1 1
direct
0.0875 0.0000 0.0000
0.6989 0.6667 0.3333
0.2135 0.3333 0.6667
```

Values from the calculation:
The value obtained for the size of the total moment is 0.00 μB/atom. As for the formation enthalpy at 0 K: -0.84 eV per atom.

=====

First-principles (PBE) data for CaSbAs2 after structural relaxation, as listed in Alexandria.

```
CaSbAs2
1.0
-3.0108 1.6314 0.5742
-0.4695 -1.8800 2.8811
4.0687 5.9168 4.5240
As Sb Ca
2 1 1
direct
0.5000 0.5000 0.2121
0.0000 0.0000 0.0888
0.5000 0.5000 0.7326
0.0000 0.0000 0.4665
```

Values from the calculation:
The value obtained for the size of the total moment is 0.00 μB/atom. For the formation energy from raw total energies, the calculation gives -0.2285 eV per atom.

=====

First-principles (PBE) data for Sm2HgO after structural relaxation, as listed in Alexandria.

```
Sm2HgO
1.0
3.9157 0.0000 0.0000
0.0000 7.3752 0.0000
0.0000 0.0000 13.7719
Hg Sm O
4 8 4
direct
0.2500 0.3917 0.3642
0.7500 0.1083 0.8642
0.7500 0.6083 0.6358
0.2500 0.8917 0.1358
0.2500 0.4099 0.7787
0.2500 0.2995 0.0358
0.2500 0.9099 0.7213
0.2500 0.7995 0.4642
0.7500 0.7005 0.9642
0.7500 0.0901 0.2787
0.7500 0.2005 0.5358
0.7500 0.5901 0.2213
0.2500 0.5584 0.9223
0.2500 0.0584 0.5777
0.7500 0.9416 0.4223
0.7500 0.4416 0.0777
```

Values from the calculation:
The value obtained for the energy above the most stable polymorph in this dataset is 0.00 kJ/mol of atoms. The value obtained for the size of the total moment is 0.00 μB/atom. For the formation energy from raw total energies, the calculation gives -1.6036 eV per atom.

=====

First-principles (PBE) data for Hf6Sn3P after structural relaxation, as listed in Alexandria.

```
Hf6Sn3P
1.0
-4.3853 3.1636 2.9869
1.4625 -4.1242 6.5154
6.1618 6.3333 2.6259
P Hf Sn
2 12 6
direct
0.0000 0.0000 0.0000
0.5000 0.5000 0.5000
0.3641 0.8511 0.0480
0.1359 0.3511 0.4520
0.1106 0.2984 0.0613
0.8894 0.7016 0.9387
0.3894 0.7984 0.4387
0.6106 0.2016 0.5613
0.7041 0.4292 0.2674
0.8641 0.6489 0.5480
0.6359 0.1489 0.9520
0.2041 0.0708 0.7674
0.7959 0.9292 0.2326
0.2959 0.5708 0.7326
0.0941 0.6250 0.2354
0.0000 0.0000 0.5000
0.4059 0.1250 0.2646
0.9059 0.3750 0.7646
0.5941 0.8750 0.7354
0.5000 0.5000 0.0000
```

Values from the calculation:
The value obtained for the size of the total moment is 0.00 μB/atom. As for the formation enthalpy at 0 K: -0.34 eV per atom.

=====

First-principles (PBE) data for Ba2NdGe3Au12 after structural relaxation, as listed in Alexandria.

```
Ba2NdGe3Au12
1.0
-8.1697 -0.5147 2.7127
-5.1510 -5.1474 -4.6195
-2.2185 -7.4272 3.7793
Au Ba Nd Ge
12 2 1 3
direct
0.6090 0.1351 0.1351
0.8649 0.8649 0.3910
0.6796 0.1454 0.6796
0.3204 0.8546 0.3204
0.8546 0.3204 0.3204
0.1351 0.1351 0.6090
0.3204 0.3204 0.8546
0.6796 0.6796 0.1454
0.3910 0.8649 0.8649
0.1454 0.6796 0.6796
0.8649 0.3910 0.8649
0.1351 0.6090 0.1351
0.3969 0.3969 0.3969
0.6031 0.6031 0.6031
0.0000 0.0000 0.0000
0.5000 0.0000 0.0000
0.0000 0.5000 0.0000
0.0000 0.0000 0.5000
```

Values from the calculation:
The value obtained for the size of the total moment is 0.00 μB/atom. As for the formation enthalpy at 0 K: -0.16 eV per atom.

=====

First-principles (PBE) data for Rb3VBr6 after structural relaxation, as listed in Alexandria.

```
Rb3VBr6
1.0
8.1885 0.0000 0.0000
0.0000 8.1885 0.0000
4.0942 4.0942 5.7904
Br Rb V
6 3 1
direct
0.2797 0.2797 0.0000
0.2797 0.2797 0.4406
0.7203 0.7203 0.0000
0.7203 0.7203 0.5594
0.7203 0.2797 0.0000
0.2797 0.7203 0.0000
0.0000 0.0000 0.0000
0.7500 0.2500 0.5000
0.2500 0.7500 0.5000
0.5000 0.5000 0.0000
```

Values from the calculation:
The value obtained for the energy above the most stable polymorph in this dataset is 3.59 kJ/mol of atoms. The value obtained for the size of the total moment is 0.20 μB/atom. For the formation energy from raw total energies, the calculation gives -1.3508 eV per atom.

=====

First-principles (PBE) data for Co2Si2Mo after structural relaxation, as listed in Alexandria.

```
Co2Si2Mo
1.0
6.8048 0.0000 0.0000
0.0000 6.8048 0.0000
0.0000 0.0000 2.5804
Co Si Mo
4 4 2
direct
0.8712 0.6288 0.0000
0.3712 0.8712 0.0000
0.6288 0.1288 0.0000
0.1288 0.3712 0.0000
0.8339 0.3339 0.5000
0.3339 0.1661 0.5000
0.6661 0.8339 0.5000
0.1661 0.6661 0.5000
0.0000 0.0000 0.0000
0.5000 0.5000 0.0000
```

Values from the calculation:
The value obtained for the size of the total moment is 0.00 μB/atom. For the formation energy from raw total energies, the calculation gives -0.2725 eV per atom.

=====

First-principles (PBE) data for SiTcAs3 after structural relaxation, as listed in Alexandria.

```
SiTcAs3
1.0
4.8028 0.0000 0.0000
0.0000 4.8028 0.0000
0.0000 0.0000 4.8028
Si Tc As
1 1 3
direct
0.5000 0.5000 0.5000
0.0000 0.0000 0.0000
0.0000 0.5000 0.0000
0.0000 0.0000 0.5000
0.5000 0.0000 0.0000
```

Values from the calculation:
The value obtained for the energy above the most stable polymorph in this dataset is 0.00 kJ/mol of atoms. The value obtained for the size of the total moment is 0.00 μB/atom. For the formation energy from raw total energies, the calculation gives 0.7520 eV per atom.

=====

First-principles (PBE) data for CoRh4 after structural relaxation, as listed in Alexandria.

```
CoRh4
1.0
-1.8247 -0.3419 -1.9483
5.6698 -9.2371 -1.8304
-0.3908 -1.1113 2.4196
Rh Co
4 1
direct
0.2006 0.6019 0.7994
0.3969 0.1908 0.6031
0.6031 0.8092 0.3969
0.7994 0.3981 0.2006
0.0000 0.0000 0.0000
```

Values from the calculation:
The value obtained for the energy above the most stable polymorph in this dataset is 0.00 kJ/mol of atoms. The value obtained for the size of the total moment is 0.41 μB/atom. As for the formation enthalpy at 0 K: 0.03 eV per atom.

=====

First-principles (PBE) data for Tm2FeHgC after structural relaxation, as listed in Alexandria.

```
Tm2FeHgC
1.0
3.7065 0.0000 0.0000
0.0000 4.9391 0.0000
0.0000 0.0000 4.9391
C Tm Hg Fe
1 2 1 1
direct
0.0000 0.0000 0.0000
0.0000 0.0000 0.5000
0.0000 0.5000 0.0000
0.5000 0.5000 0.5000
0.5000 0.0000 0.0000
```

Values from the calculation:
The value obtained for the size of the total moment is 0.00 μB/atom. As for the formation enthalpy at 0 K: -0.41 eV per atom.

=====

First-principles (PBE) data for CrAs2WBr after structural relaxation, as listed in Alexandria.

```
CrAs2WBr
1.0
4.8414 0.0000 0.0000
0.0000 4.8414 0.0000
0.0000 0.0000 5.4419
As Cr W Br
2 1 1 1
direct
0.0000 0.5000 0.0000
0.5000 0.0000 0.0000
0.5000 0.5000 0.5000
0.0000 0.0000 0.0000
0.0000 0.0000 0.5000
```

Values from the calculation:
The value obtained for the energy above the most stable polymorph in this dataset is 0.00 kJ/mol of atoms. The value obtained for the size of the total moment is 1.07 μB/atom. For the formation energy from raw total energies, the calculation gives 0.7644 eV per atom.

=====

First-principles (PBE) data for SrBe2P after structural relaxation, as listed in Alexandria.

```
SrBe2P
1.0
-0.7168 -1.0307 3.3308
-2.3923 -2.3272 -1.2349
4.1435 -4.0668 -0.3668
Sr Be P
1 2 1
direct
0.5000 0.8748 0.7046
0.5000 0.3752 0.1925
0.0000 0.8751 0.1925
0.0000 0.3750 0.4103
```

Values from the calculation:
The value obtained for the size of the total moment is 0.00 μB/atom. As for the formation enthalpy at 0 K: -0.14 eV per atom.

=====

First-principles (PBE) data for InFe2I after structural relaxation, as listed in Alexandria.

```
InFe2I
1.0
0.0000 3.2888 3.2888
3.2888 0.0000 3.2888
3.2888 3.2888 0.0000
Fe I In
2 1 1
direct
0.2500 0.2500 0.2500
0.7500 0.7500 0.7500
0.5000 0.5000 0.5000
0.0000 0.0000 0.0000
```

Values from the calculation:
The value obtained for the size of the total moment is 1.00 μB/atom. For the formation energy from raw total energies, the calculation gives 0.8305 eV per atom.

=====

First-principles (PBE) data for Sr2LaMgRh after structural relaxation, as listed in Alexandria.

```
Sr2LaMgRh
1.0
5.9502 0.0000 0.0000
0.0000 5.9502 0.0000
0.0000 0.0000 5.4004
La Sr Mg Rh
1 2 1 1
direct
0.0000 0.0000 0.5000
0.5000 0.0000 0.0000
0.0000 0.5000 0.0000
0.5000 0.5000 0.5000
0.0000 0.0000 0.0000
```

Values from the calculation:
The value obtained for the size of the total moment is 0.00 μB/atom. As for the formation enthalpy at 0 K: -0.19 eV per atom.

=====

First-principles (PBE) data for Ta2SnSe after structural relaxation, as listed in Alexandria.

```
Ta2SnSe
1.0
-0.0353 -0.5365 4.0859
4.1189 0.1258 0.0521
1.7300 9.4794 3.3379
Ta Se Sn
4 2 2
direct
0.1294 0.6250 0.2500
0.6206 0.1250 0.2500
0.8750 0.8706 0.7500
0.3750 0.3794 0.7500
0.5000 0.5000 0.0000
0.2500 0.7500 0.5000
0.7500 0.2500 0.5000
0.0000 0.0000 0.0000
```

Values from the calculation:
The value obtained for the energy above the most stable polymorph in this dataset is 27.37 kJ/mol of atoms. The value obtained for the size of the total moment is 0.00 μB/atom. For the formation energy from raw total energies, the calculation gives 0.4179 eV per atom.

=====

First-principles (PBE) data for InSbPd2Pt after structural relaxation, as listed in Alexandria.

```
InSbPd2Pt
1.0
4.8700 0.0000 0.0000
0.0000 5.4110 0.0000
0.0000 0.0000 4.8700
Sb In Pd Pt
1 1 2 1
direct
0.0000 0.5000 0.0000
0.0000 0.0000 0.0000
0.0000 0.0000 0.5000
0.5000 0.0000 0.0000
0.5000 0.5000 0.5000
```

Values from the calculation:
The value obtained for the energy above the most stable polymorph in this dataset is 47.80 kJ/mol of atoms. The value obtained for the size of the total moment is 0.00 μB/atom. For the formation energy from raw total energies, the calculation gives 1.0145 eV per atom.